# 1
First-principles (PBE-GGA) data for a relaxed structure of MgAg2As, as listed in the Alexandria database.

Summary:
Formation enthalpy at 0 K: -152 meV per atom
Uncorrected energy: -3.139 eV/atom
Space group: No. 123

Cell lengths 4.1160, 4.1165, 4.3274 Å; angles 90.00, 90.00, 90.00 degrees
Atoms (fractional coordinates):
As: 0.5000 0.0000 0.5000
Ag: 0.5000 0.5000 0.0000
Mg: 0.0000 0.5000 0.5000
Ag: 0.0000 0.0000 0.0000


# 2
First-principles (PBE-GGA) data for a relaxed structure of MgAgAs, as listed in the Alexandria database.

Summary:
Formation enthalpy at 0 K: -5 meV per atom
Uncorrected energy: -3.037 eV/atom
Space group: No. 156

Cell lengths 3.1300, 3.1300, 6.8023 Å; angles 90.00, 90.00, 120.00 degrees
Atoms (fractional coordinates):
Mg: 0.3333 0.6667 0.6693
Ag: 0.0000 0.0000 0.9927
As: 0.6667 0.3333 0.3380


# 3
First-principles (PBE-GGA) data for a relaxed structure of MgAg2As, as listed in the Alexandria database.

Summary:
Formation enthalpy at 0 K: -5 meV per atom
Uncorrected energy: -2.992 eV/atom
Space group: No. 65

Cell lengths 5.1182, 5.1182, 3.0951 Å; angles 90.00, 90.00, 111.80 degrees
Atoms (fractional coordinates):
Mg: 0.0000 0.5000 0.5000
Ag: 0.0000 0.0000 0.0000
Ag: 0.5000 0.5000 0.0000
As: 0.5000 0.0000 0.5000


# 4
First-principles (PBE-GGA) data for a relaxed structure of MgAg2As, as listed in the Alexandria database.

Summary:
Formation enthalpy at 0 K: 43 meV per atom
Uncorrected energy: -2.944 eV/atom
Space group: No. 166

Cell lengths 9.2050, 9.2050, 9.2050 Å; angles 19.41, 19.41, 19.41 degrees
Atoms (fractional coordinates):
Ag: 0.5002 0.5002 0.5002
Mg: 0.7500 0.7500 0.7500
Ag: 0.9998 0.9998 0.9998
As: 0.2500 0.2500 0.2500


# 5
First-principles (PBE-GGA) data for a relaxed structure of MgAg2As, as listed in the Alexandria database.

Summary:
Formation enthalpy at 0 K: -94 meV per atom
Uncorrected energy: -3.081 eV/atom
Space group: No. 119

Cell lengths 5.1646, 5.1646, 5.1646 Å; angles 132.35, 132.33, 69.69 degrees
Atoms (fractional coordinates):
Ag: 0.0000 0.0000 0.0000
Mg: 0.2500 0.7500 0.5000
As: 0.5001 0.5001 0.0000
Ag: 0.7500 0.2500 0.5000


# 6
First-principles (PBE-GGA) data for a relaxed structure of MgAg4As, as listed in the Alexandria database.

Summary:
Formation enthalpy at 0 K: 80 meV per atom
Uncorrected energy: -2.862 eV/atom
Space group: No. 216

Cell lengths 5.5083, 5.5083, 5.5083 Å; angles 60.00, 60.00, 60.00 degrees
Atoms (fractional coordinates):
Ag: 0.8762 0.3746 0.3746
Ag: 0.3746 0.3746 0.3746
As: 0.7500 0.7500 0.7500
Ag: 0.3746 0.3746 0.8762
Mg: 0.0000 0.0000 0.0000
Ag: 0.3746 0.8762 0.3746


# 7
First-principles (PBE-GGA) data for a relaxed structure of MgAgAs, as listed in the Alexandria database.

Summary:
Formation enthalpy at 0 K: -254 meV per atom
Uncorrected energy: -3.286 eV/atom
Space group: No. 62

Cell lengths 7.0887, 4.1364, 8.0067 Å; angles 90.00, 90.00, 90.00 degrees
Atoms (fractional coordinates):
As: 0.2261 0.7500 0.8766
Mg: 0.4508 0.2500 0.6816
Mg: 0.9508 0.2500 0.8184
As: 0.2739 0.2500 0.3766
Ag: 0.6240 0.7500 0.9407
Ag: 0.8760 0.2500 0.4407
Ag: 0.3760 0.2500 0.0593
Ag: 0.1240 0.7500 0.5593
As: 0.7261 0.7500 0.6234
Mg: 0.0492 0.7500 0.1816
As: 0.7739 0.2500 0.1234
Mg: 0.5492 0.7500 0.3184


# 8
First-principles (PBE-GGA) data for a relaxed structure of MgAg2As, as listed in the Alexandria database.

Summary:
Formation enthalpy at 0 K: -75 meV per atom
Uncorrected energy: -3.062 eV/atom
Space group: No. 47

Cell lengths 3.1612, 4.0526, 5.7983 Å; angles 90.00, 90.00, 90.00 degrees
Atoms (fractional coordinates):
Mg: 0.5000 0.5000 0.7500
Ag: 0.0000 0.0000 0.5054
Ag: 0.0000 0.0000 0.9946
As: 0.5000 0.5000 0.2500